DFT (PBE-GGA) results for a relaxed structure of YZr2Ni.

Calculated values
Crystal system   trigonal
E_form   89.2 meV per atom
VASP energy   -0.533 Ry per atom
Total moment   0.00 μB/cell
Energy above the most stable polymorph in this dataset   24.23 kJ/mol of atoms

CIF file:
```
data_YZr2Ni
_chemical_formula_sum 'Y1 Zr2 Ni1'
_cell_length_a 7.269
_cell_length_b 7.269
_cell_length_c 7.269
_cell_angle_alpha 32.10
_cell_angle_beta 32.10
_cell_angle_gamma 32.10
_symmetry_space_group_name_H-M 'P 1'
_symmetry_Int_Tables_number 1
loop_
_symmetry_equiv_pos_as_xyz
'x,y,z'
loop_
_atom_site_label
_atom_site_fract_x
_atom_site_fract_y
_atom_site_fract_z
_atom_site_occupancy
Y1 0.000 0.000 0.000 1
Zr1 0.554 0.554 0.554 1
Zr2 0.781 0.781 0.781 1
Ni1 0.170 0.170 0.170 1
```


DFT (PBE-GGA) results for a relaxed structure of Sm3AgBi2.

Calculated values
Crystal system   monoclinic
E_form   -567.6 meV per atom
VASP energy   -0.345 Ry per atom
Total moment   0.01 μB/cell

CIF file:
```
data_Sm3AgBi2
_chemical_formula_sum 'Sm6 Ag2 Bi4'
_cell_length_a 7.730
_cell_length_b 7.730
_cell_length_c 9.093
_cell_angle_alpha 107.10
_cell_angle_beta 107.10
_cell_angle_gamma 48.67
_symmetry_space_group_name_H-M 'P 1'
_symmetry_Int_Tables_number 1
loop_
_symmetry_equiv_pos_as_xyz
'x,y,z'
loop_
_atom_site_label
_atom_site_fract_x
_atom_site_fract_y
_atom_site_fract_z
_atom_site_occupancy
Sm1 0.000 0.000 0.250 1
Sm2 0.000 0.000 0.750 1
Sm3 0.333 0.333 0.417 1
Sm4 0.333 0.333 0.917 1
Sm5 0.667 0.667 0.083 1
Sm6 0.667 0.667 0.583 1
Ag1 0.500 0.500 0.250 1
Ag2 0.500 0.500 0.750 1
Bi1 0.168 0.168 0.084 1
Bi2 0.168 0.168 0.584 1
Bi3 0.832 0.832 0.416 1
Bi4 0.832 0.832 0.916 1
```


DFT (PBE-GGA) results for a relaxed structure of NaSr2Ca7.

Calculated values
Crystal system   cubic
E_form   397.6 meV per atom
VASP energy   -0.108 Ry per atom
Total moment   1.10 μB/cell
Energy above the most stable polymorph in this dataset   26.86 kJ/mol of atoms

CIF file:
```
data_NaSr2Ca7
_chemical_formula_sum 'Na1 Sr2 Ca7'
_cell_length_a 8.888
_cell_length_b 8.888
_cell_length_c 8.888
_cell_angle_alpha 60.00
_cell_angle_beta 60.00
_cell_angle_gamma 60.00
_symmetry_space_group_name_H-M 'P 1'
_symmetry_Int_Tables_number 1
loop_
_symmetry_equiv_pos_as_xyz
'x,y,z'
loop_
_atom_site_label
_atom_site_fract_x
_atom_site_fract_y
_atom_site_fract_z
_atom_site_occupancy
Na1 0.000 0.000 0.000 1
Sr1 0.250 0.250 0.250 1
Sr2 0.750 0.750 0.750 1
Ca1 0.244 0.244 0.756 1
Ca2 0.244 0.756 0.244 1
Ca3 0.244 0.756 0.756 1
Ca4 0.500 0.500 0.500 1
Ca5 0.756 0.244 0.244 1
Ca6 0.756 0.244 0.756 1
Ca7 0.756 0.756 0.244 1
```


DFT (PBE-GGA) results for a relaxed structure of Hf2TaHg2.

Calculated values
Crystal system   tetragonal
E_form   554.3 meV per atom
VASP energy   -0.435 Ry per atom
Total moment   0.00 μB/cell
Energy above the most stable polymorph in this dataset   50.49 kJ/mol of atoms

CIF file:
```
data_Hf2TaHg2
_chemical_formula_sum 'Hf2 Ta1 Hg2'
_cell_length_a 8.327
_cell_length_b 8.327
_cell_length_c 8.327
_cell_angle_alpha 153.24
_cell_angle_beta 153.24
_cell_angle_gamma 38.20
_symmetry_space_group_name_H-M 'P 1'
_symmetry_Int_Tables_number 1
loop_
_symmetry_equiv_pos_as_xyz
'x,y,z'
loop_
_atom_site_label
_atom_site_fract_x
_atom_site_fract_y
_atom_site_fract_z
_atom_site_occupancy
Hf1 0.090 0.090 0.000 1
Hf2 0.910 0.910 0.000 1
Ta1 0.500 0.500 0.000 1
Hg1 0.250 0.750 0.500 1
Hg2 0.750 0.250 0.500 1
```


DFT (PBE-GGA) results for a relaxed structure of Nd6Al2H.

Calculated values
Crystal system   monoclinic
VASP energy   -0.337 Ry per atom
Total moment   0.00 μB/cell

CIF file:
```
data_Nd6Al2H
_chemical_formula_sum 'Nd12 Al4 H2'
_cell_length_a 6.550
_cell_length_b 9.372
_cell_length_c 9.570
_cell_angle_alpha 90.00
_cell_angle_beta 121.91
_cell_angle_gamma 90.00
_symmetry_space_group_name_H-M 'P 1'
_symmetry_Int_Tables_number 1
loop_
_symmetry_equiv_pos_as_xyz
'x,y,z'
loop_
_atom_site_label
_atom_site_fract_x
_atom_site_fract_y
_atom_site_fract_z
_atom_site_occupancy
Nd1 0.126 0.137 0.483 1
Nd2 0.126 0.363 0.983 1
Nd3 0.318 0.039 0.197 1
Nd4 0.318 0.461 0.697 1
Nd5 0.331 0.732 0.443 1
Nd6 0.331 0.768 0.943 1
Nd7 0.669 0.232 0.057 1
Nd8 0.669 0.268 0.557 1
Nd9 0.682 0.539 0.303 1
Nd10 0.682 0.961 0.803 1
Nd11 0.874 0.637 0.017 1
Nd12 0.874 0.863 0.517 1
Al1 0.176 0.087 0.820 1
Al2 0.176 0.413 0.320 1
Al3 0.824 0.587 0.680 1
Al4 0.824 0.913 0.180 1
H1 0.500 0.000 0.500 1
H2 0.500 0.500 0.000 1
```


DFT (PBE-GGA) results for a relaxed structure of CeTlHgPt.

Calculated values
Crystal system   cubic
E_form   -440.8 meV per atom
VASP energy   -0.301 Ry per atom
Total moment   0.72 μB/cell

CIF file:
```
data_CeTlHgPt
_chemical_formula_sum 'Ce1 Tl1 Hg1 Pt1'
_cell_length_a 5.090
_cell_length_b 5.090
_cell_length_c 5.090
_cell_angle_alpha 60.00
_cell_angle_beta 60.00
_cell_angle_gamma 60.00
_symmetry_space_group_name_H-M 'P 1'
_symmetry_Int_Tables_number 1
loop_
_symmetry_equiv_pos_as_xyz
'x,y,z'
loop_
_atom_site_label
_atom_site_fract_x
_atom_site_fract_y
_atom_site_fract_z
_atom_site_occupancy
Ce1 0.000 0.000 0.000 1
Tl1 0.500 0.500 0.500 1
Hg1 0.250 0.250 0.250 1
Pt1 0.750 0.750 0.750 1
```


DFT (PBE-GGA) results for a relaxed structure of Y3Tm2In4.

Calculated values
Crystal system   orthorhombic
E_form   -244.3 meV per atom
VASP energy   -0.339 Ry per atom
Total moment   0.00 μB/cell

CIF file:
```
data_Y3Tm2In4
_chemical_formula_sum 'Y6 Tm4 In8'
_cell_length_a 8.409
_cell_length_b 8.409
_cell_length_c 9.838
_cell_angle_alpha 90.00
_cell_angle_beta 90.00
_cell_angle_gamma 130.97
_symmetry_space_group_name_H-M 'P 1'
_symmetry_Int_Tables_number 1
loop_
_symmetry_equiv_pos_as_xyz
'x,y,z'
loop_
_atom_site_label
_atom_site_fract_x
_atom_site_fract_y
_atom_site_fract_z
_atom_site_occupancy
Y1 0.000 0.000 0.000 1
Y2 0.030 0.470 0.250 1
Y3 0.470 0.030 0.750 1
Y4 0.500 0.500 0.500 1
Y5 0.530 0.970 0.250 1
Y6 0.970 0.530 0.750 1
Tm1 0.105 0.895 0.464 1
Tm2 0.395 0.605 0.964 1
Tm3 0.605 0.395 0.036 1
Tm4 0.895 0.105 0.536 1
In1 0.197 0.803 0.019 1
In2 0.243 0.257 0.250 1
In3 0.257 0.243 0.750 1
In4 0.303 0.697 0.519 1
In5 0.697 0.303 0.481 1
In6 0.743 0.757 0.250 1
In7 0.757 0.743 0.750 1
In8 0.803 0.197 0.981 1
```


DFT (PBE-GGA) results for a relaxed structure of CoW2Cl.

Calculated values
Crystal system   cubic
VASP energy   -0.578 Ry per atom
Total moment   0.00 μB/cell
Uncorrected formation energy   854.4 meV per atom
Energy above the most stable polymorph in this dataset   46.24 kJ/mol of atoms

CIF file:
```
data_CoW2Cl
_chemical_formula_sum 'Co1 W2 Cl1'
_cell_length_a 4.293
_cell_length_b 4.293
_cell_length_c 4.293
_cell_angle_alpha 60.00
_cell_angle_beta 60.00
_cell_angle_gamma 60.00
_symmetry_space_group_name_H-M 'P 1'
_symmetry_Int_Tables_number 1
loop_
_symmetry_equiv_pos_as_xyz
'x,y,z'
loop_
_atom_site_label
_atom_site_fract_x
_atom_site_fract_y
_atom_site_fract_z
_atom_site_occupancy
Co1 0.000 0.000 0.000 1
W1 0.250 0.250 0.250 1
W2 0.750 0.750 0.750 1
Cl1 0.500 0.500 0.500 1
```


DFT (PBE-GGA) results for a relaxed structure of Pm3PrNd6Sm2.

Calculated values
Crystal system   monoclinic
E_form   12.5 meV per atom
VASP energy   -0.349 Ry per atom
Total moment   0.00 μB/cell

CIF file:
```
data_Pm3PrNd6Sm2
_chemical_formula_sum 'Pm3 Pr1 Nd6 Sm2'
_cell_length_a 6.359
_cell_length_b 6.359
_cell_length_c 12.160
_cell_angle_alpha 95.03
_cell_angle_beta 95.03
_cell_angle_gamma 120.00
_symmetry_space_group_name_H-M 'P 1'
_symmetry_Int_Tables_number 1
loop_
_symmetry_equiv_pos_as_xyz
'x,y,z'
loop_
_atom_site_label
_atom_site_fract_x
_atom_site_fract_y
_atom_site_fract_z
_atom_site_occupancy
Pm1 0.000 0.000 0.000 1
Pm2 0.333 0.667 0.000 1
Pm3 0.667 0.333 0.000 1
Pr1 0.500 0.500 0.500 1
Nd1 0.083 0.416 0.250 1
Nd2 0.250 0.250 0.750 1
Nd3 0.416 0.083 0.250 1
Nd4 0.584 0.917 0.750 1
Nd5 0.750 0.750 0.250 1
Nd6 0.917 0.584 0.750 1
Sm1 0.167 0.833 0.500 1
Sm2 0.833 0.167 0.500 1
```


DFT (PBE-GGA) results for a relaxed structure of MnCrBPdAu.

Calculated values
Crystal system   monoclinic
E_form   156.4 meV per atom
VASP energy   -0.487 Ry per atom
Total moment   5.83 μB/cell
Energy above the most stable polymorph in this dataset   14.22 kJ/mol of atoms

CIF file:
```
data_MnCrBPdAu
_chemical_formula_sum 'Mn1 Cr1 B1 Pd1 Au1'
_cell_length_a 4.398
_cell_length_b 4.398
_cell_length_c 5.852
_cell_angle_alpha 90.46
_cell_angle_beta 90.46
_cell_angle_gamma 37.22
_symmetry_space_group_name_H-M 'P 1'
_symmetry_Int_Tables_number 1
loop_
_symmetry_equiv_pos_as_xyz
'x,y,z'
loop_
_atom_site_label
_atom_site_fract_x
_atom_site_fract_y
_atom_site_fract_z
_atom_site_occupancy
Mn1 0.000 0.000 0.000 1
Cr1 0.002 0.002 0.481 1
B1 0.445 0.445 0.737 1
Pd1 0.726 0.726 0.741 1
Au1 0.274 0.274 0.242 1
```


DFT (PBE-GGA) results for a relaxed structure of LaHf2Bi.

Calculated values
Crystal system   cubic
E_form   217.4 meV per atom
VASP energy   -0.512 Ry per atom
Total moment   0.00 μB/cell
Energy above the most stable polymorph in this dataset   0.00 kJ/mol of atoms

CIF file:
```
data_LaHf2Bi
_chemical_formula_sum 'La1 Hf2 Bi1'
_cell_length_a 5.200
_cell_length_b 5.200
_cell_length_c 5.200
_cell_angle_alpha 60.00
_cell_angle_beta 60.00
_cell_angle_gamma 60.00
_symmetry_space_group_name_H-M 'P 1'
_symmetry_Int_Tables_number 1
loop_
_symmetry_equiv_pos_as_xyz
'x,y,z'
loop_
_atom_site_label
_atom_site_fract_x
_atom_site_fract_y
_atom_site_fract_z
_atom_site_occupancy
La1 0.000 0.000 0.000 1
Hf1 0.250 0.250 0.250 1
Hf2 0.750 0.750 0.750 1
Bi1 0.500 0.500 0.500 1
```


DFT (PBE-GGA) results for a relaxed structure of SiAgPb2.

Calculated values
Crystal system   tetragonal
VASP energy   -0.261 Ry per atom
Total moment   0.00 μB/cell
Uncorrected formation energy   371.6 meV per atom

CIF file:
```
data_SiAgPb2
_chemical_formula_sum 'Si1 Ag1 Pb2'
_cell_length_a 5.811
_cell_length_b 5.811
_cell_length_c 5.811
_cell_angle_alpha 134.48
_cell_angle_beta 134.48
_cell_angle_gamma 66.34
_symmetry_space_group_name_H-M 'P 1'
_symmetry_Int_Tables_number 1
loop_
_symmetry_equiv_pos_as_xyz
'x,y,z'
loop_
_atom_site_label
_atom_site_fract_x
_atom_site_fract_y
_atom_site_fract_z
_atom_site_occupancy
Si1 0.000 0.000 0.000 1
Ag1 0.250 0.750 0.500 1
Pb1 0.500 0.500 0.000 1
Pb2 0.750 0.250 0.500 1
```


DFT (PBE-GGA) results for a relaxed structure of TbDy4Y4.

Calculated values
Crystal system   tetragonal
E_form   21.5 meV per atom
VASP energy   -0.398 Ry per atom
Total moment   0.00 μB/cell

CIF file:
```
data_TbDy4Y4
_chemical_formula_sum 'Tb1 Dy4 Y4'
_cell_length_a 7.958
_cell_length_b 7.958
_cell_length_c 7.958
_cell_angle_alpha 95.72
_cell_angle_beta 95.72
_cell_angle_gamma 143.20
_symmetry_space_group_name_H-M 'P 1'
_symmetry_Int_Tables_number 1
loop_
_symmetry_equiv_pos_as_xyz
'x,y,z'
loop_
_atom_site_label
_atom_site_fract_x
_atom_site_fract_y
_atom_site_fract_z
_atom_site_occupancy
Tb1 0.000 0.000 0.000 1
Dy1 0.000 0.334 0.334 1
Dy2 0.000 0.666 0.666 1
Dy3 0.334 0.000 0.334 1
Dy4 0.666 0.000 0.666 1
Y1 0.333 0.333 0.667 1
Y2 0.333 0.667 0.000 1
Y3 0.667 0.333 0.000 1
Y4 0.667 0.667 0.333 1
```


DFT (PBE-GGA) results for a relaxed structure of UPaPt.

Calculated values
Crystal system   hexagonal
E_form   -320.2 meV per atom
VASP energy   -0.681 Ry per atom
Total moment   0.53 μB/cell
Energy above the most stable polymorph in this dataset   4.19 kJ/mol of atoms

CIF file:
```
data_UPaPt
_chemical_formula_sum 'U1 Pa1 Pt1'
_cell_length_a 4.908
_cell_length_b 4.908
_cell_length_c 2.805
_cell_angle_alpha 90.00
_cell_angle_beta 90.00
_cell_angle_gamma 120.00
_symmetry_space_group_name_H-M 'P 1'
_symmetry_Int_Tables_number 1
loop_
_symmetry_equiv_pos_as_xyz
'x,y,z'
loop_
_atom_site_label
_atom_site_fract_x
_atom_site_fract_y
_atom_site_fract_z
_atom_site_occupancy
U1 0.000 0.000 0.000 1
Pa1 0.333 0.667 0.000 1
Pt1 0.667 0.333 0.500 1
```